Cd2TeP: relaxed, GGA-PBE.

Unit cell a=7.887 b=7.887 c=7.887 alpha=155.64 beta=150.09 gamma=38.94
Sites, in units of the cell vectors:
1 Cd 0.000 0.000 0.000
2 Cd 0.708 0.208 0.500
3 Te 0.381 0.381 0.000
4 P 0.144 0.644 0.500

ΔE_f (raw) = 0.50 eV per formula unit
D(E_F) = 0.455 states/eV/atom
E_tot = -0.1815 Ry/atom
energy above the lowest structure with this stoichiometry = 192 meV/atom

***

TiI2NO: relaxed, GGA-PBE.

Unit cell a=5.651 b=5.651 c=3.741 alpha=90.00 beta=90.00 gamma=90.00
Sites, in units of the cell vectors:
1 Ti 0.000 0.000 0.000
2 I 0.000 0.500 0.000
3 I 0.500 0.000 0.000
4 N 0.500 0.500 0.500
5 O 0.000 0.000 0.500

ΔE_f (raw) = -0.13 eV per formula unit
D(E_F) = 0.062 states/eV/atom
E_tot = -0.3587 Ry/atom
energy above the lowest structure with this stoichiometry = 0 meV/atom

***

TaCdSi2Sb: relaxed, GGA-PBE.

Unit cell a=4.792 b=4.792 c=5.515 alpha=90.00 beta=90.00 gamma=90.00
Sites, in units of the cell vectors:
1 Ta 0.000 0.000 0.000
2 Cd 0.500 0.500 0.500
3 Si 0.000 0.500 0.500
4 Si 0.500 0.000 0.500
5 Sb 0.500 0.500 0.000

ΔE_f (raw) = 8.44 eV per formula unit
D(E_F) = 1.054 states/eV/atom
E_tot = -0.2837 Ry/atom

***

Ti2Re3Mo: relaxed, GGA-PBE.

Unit cell a=3.122 b=3.122 c=9.380 alpha=90.00 beta=90.00 gamma=90.00
Sites, in units of the cell vectors:
1 Ti 0.000 0.000 0.164
2 Ti 0.000 0.000 0.836
3 Re 0.500 0.500 0.000
4 Re 0.500 0.500 0.334
5 Re 0.500 0.500 0.666
6 Mo 0.000 0.000 0.500

E_form = -1.99 eV per formula unit
D(E_F) = 0.501 states/eV/atom
E_tot = -0.8080 Ry/atom

***

Co2HgMo: relaxed, GGA-PBE.

Unit cell a=2.774 b=2.774 c=7.592 alpha=90.00 beta=90.00 gamma=90.00
Sites, in units of the cell vectors:
1 Co 0.000 0.000 0.000
2 Co 0.500 0.500 0.190
3 Hg 0.000 0.000 0.463
4 Mo 0.500 0.500 0.769

E_form = 1.41 eV per formula unit
D(E_F) = 1.080 states/eV/atom
E_tot = -0.4398 Ry/atom

***

CaCe2: relaxed, GGA-PBE.

Unit cell a=8.577 b=8.577 c=8.577 alpha=157.21 beta=157.21 gamma=32.45
Sites, in units of the cell vectors:
1 Ca 0.000 0.000 0.000
2 Ce 0.320 0.320 0.000
3 Ce 0.680 0.680 0.000

E_form = 0.60 eV per formula unit
D(E_F) = 3.092 states/eV/atom
E_tot = -0.3251 Ry/atom
energy above the lowest structure with this stoichiometry = 0 meV/atom

***

YIr2Pt: relaxed, GGA-PBE.

Unit cell a=4.079 b=4.079 c=4.077 alpha=90.00 beta=90.00 gamma=90.00
Sites, in units of the cell vectors:
1 Y 0.000 0.000 0.000
2 Ir 0.000 0.500 0.500
3 Ir 0.500 0.000 0.500
4 Pt 0.500 0.500 0.000

E_form = -2.20 eV per formula unit
D(E_F) = 1.045 states/eV/atom
E_tot = -0.5958 Ry/atom
energy above the lowest structure with this stoichiometry = 0 meV/atom

***

AcSi2: relaxed, GGA-PBE.

Unit cell a=5.690 b=5.690 c=5.690 alpha=60.00 beta=60.00 gamma=60.00
Sites, in units of the cell vectors:
1 Ac 0.125 0.125 0.125
2 Ac 0.875 0.875 0.875
3 Si 0.000 0.500 0.500
4 Si 0.500 0.000 0.500
5 Si 0.500 0.500 0.000
6 Si 0.500 0.500 0.500

ΔE_f (raw) = -0.54 eV per formula unit
D(E_F) = 1.471 states/eV/atom
E_tot = -0.3795 Ry/atom
energy above the lowest structure with this stoichiometry = 352 meV/atom

***

HfSc2FeP: relaxed, GGA-PBE.

Unit cell a=4.705 b=4.705 c=4.673 alpha=90.00 beta=90.00 gamma=90.00
Sites, in units of the cell vectors:
1 Hf 0.000 0.000 0.000
2 Sc 0.000 0.500 0.500
3 Sc 0.500 0.000 0.500
4 Fe 0.000 0.000 0.500
5 P 0.500 0.500 0.000

E_form = 0.28 eV per formula unit
D(E_F) = 1.193 states/eV/atom
E_tot = -0.5323 Ry/atom

***

Na2MgTl2Pb: relaxed, GGA-PBE.

Unit cell a=4.456 b=10.323 c=7.301 alpha=90.00 beta=90.00 gamma=90.00
Sites, in units of the cell vectors:
1 Na 0.000 0.002 0.000
2 Na 0.000 0.998 0.500
3 Na 0.500 0.180 0.750
4 Na 0.500 0.820 0.250
5 Mg 0.500 0.484 0.253
6 Mg 0.500 0.516 0.753
7 Tl 0.000 0.335 0.510
8 Tl 0.000 0.665 0.010
9 Tl 0.500 0.171 0.250
10 Tl 0.500 0.829 0.750
11 Pb 0.000 0.348 0.992
12 Pb 0.000 0.652 0.492

E_form = -0.47 eV per formula unit
D(E_F) = 0.381 states/eV/atom
E_tot = -0.1610 Ry/atom

***

Cr2InCu: relaxed, GGA-PBE.

Unit cell a=3.615 b=3.615 c=4.282 alpha=90.00 beta=90.00 gamma=90.00
Sites, in units of the cell vectors:
1 Cr 0.000 0.500 0.000
2 Cr 0.500 0.000 0.000
3 In 0.000 0.000 0.500
4 Cu 0.500 0.500 0.500

E_form = 1.74 eV per formula unit
D(E_F) = 0.846 states/eV/atom
E_tot = -0.4473 Ry/atom

***

CrHg2Cl: relaxed, GGA-PBE.

Unit cell a=8.453 b=8.453 c=8.453 alpha=24.86 beta=24.86 gamma=24.86
Sites, in units of the cell vectors:
1 Cr 0.000 0.000 0.000
2 Hg 0.254 0.254 0.254
3 Hg 0.746 0.746 0.746
4 Cl 0.500 0.500 0.500

ΔE_f (raw) = 0.29 eV per formula unit
D(E_F) = 0.273 states/eV/atom
E_tot = -0.2164 Ry/atom
energy above the lowest structure with this stoichiometry = 169 meV/atom

***

Which of these has the highest D(E_F)? CaCe2

***

The highest D(E_F) belongs to which entry? CaCe2

***

Which value of D(E_F) does entry 3 give? 1.054 states/eV/atom

***

Repeat the third record exactly.
TaCdSi2Sb: relaxed, GGA-PBE.

Unit cell a=4.792 b=4.792 c=5.515 alpha=90.00 beta=90.00 gamma=90.00
Sites, in units of the cell vectors:
1 Ta 0.000 0.000 0.000
2 Cd 0.500 0.500 0.500
3 Si 0.000 0.500 0.500
4 Si 0.500 0.000 0.500
5 Sb 0.500 0.500 0.000

ΔE_f (raw) = 8.44 eV per formula unit
D(E_F) = 1.054 states/eV/atom
E_tot = -0.2837 Ry/atom